Entry 1:
## Hf2GeC (PBE)

Data for an optimized crystal structure of Hf2GeC.

Formation enthalpy at 0 K   -0.28 eV per atom
Total energy   -139.47 eV per cell
Mass density   10.7 Mg/m³

Unit cell a=6.495 b=6.495 c=6.514 alpha=90.00 beta=90.00 gamma=90.00
Space group I-42d (No. 122)
Inequivalent atoms, fractional coordinates:
Hf  0.186  0.250  0.125
Ge  0.000  0.000  0.500
C  0.000  0.000  0.000



Entry 2:
## CaCrHgAu2 (PBE)

Data for an optimized crystal structure of CaCrHgAu2.

Formation enthalpy at 0 K   0.39 eV per atom
Total energy   -16.54 eV per cell
Mass density   8.1 Mg/m³

Unit cell a=5.044 b=5.044 c=5.498 alpha=90.00 beta=90.00 gamma=90.00
Space group P4/mmm (No. 123)
Inequivalent atoms, fractional coordinates:
Ca  0.000  0.000  0.000
Cr  0.000  0.000  0.500
Hg  0.500  0.500  0.000
Au  0.000  0.500  0.500



Entry 3:
## Th8SiAs3Se4 (PBE)

Data for an optimized crystal structure of Th8SiAs3Se4.

Energy relative to the elements, uncorrected   -1427 meV/atom
Total energy   -346.48 eV per cell
Mass density   9.4 Mg/m³

Unit cell a=8.4865 b=8.4865 c=20.6618 alpha=90.00 beta=90.00 gamma=120.00
Space group R-3m (No. 166, hexagonal axes)
Inequivalent atoms, fractional coordinates:
Th  0.0000  0.0000  0.2480
Th  0.0047  0.5023  0.2470
Si  0.0000  0.0000  0.5000
As  0.0000  0.5000  0.5000
Se  0.0000  0.0000  0.0000
Se  0.0000  0.5000  0.0000



Entry 4:
## YTmMnCd (PBE)

Data for an optimized crystal structure of YTmMnCd.

Formation enthalpy at 0 K   -0.02 eV per atom
Total energy   -84.39 eV per cell
Mass density   7.3 Mg/m³

Unit cell a=7.270 b=7.270 c=7.270 alpha=90.00 beta=90.00 gamma=90.00
Space group F-43m (No. 216)
Inequivalent atoms, fractional coordinates:
Y  0.000  0.000  0.000
Tm  0.000  0.000  0.500
Mn  0.250  0.250  0.250
Cd  0.250  0.250  0.750



Entry 5:
## Rb2RhBr (PBE)

Data for an optimized crystal structure of Rb2RhBr.

Relative energy among the computed polymorphs   0.0 meV/atom
Energy relative to the elements, uncorrected   49 meV/atom
Total energy   -43.06 eV per cell
Mass density   3.9 Mg/m³

Unit cell a=8.416 b=8.416 c=8.416 alpha=90.00 beta=90.00 gamma=90.00
Space group Fm-3m (No. 225)
Inequivalent atoms, fractional coordinates:
Rb  0.250  0.250  0.250
Rh  0.000  0.000  0.000
Br  0.000  0.000  0.500



Entry 6:
## SmTaH (PBE)

Data for an optimized crystal structure of SmTaH.

Total energy   -76.67 eV per cell
Mass density   11.0 Mg/m³

Unit cell a=11.263 b=3.325 c=5.368 alpha=90.00 beta=90.00 gamma=90.00
Space group Amm2 (No. 38)
Inequivalent atoms, fractional coordinates:
Sm  0.150  0.000  0.000
Ta  0.384  0.000  0.592
H  0.000  0.000  0.664
H  0.500  0.000  0.921



Entry 7:
## AlIr2Pb (PBE)

Data for an optimized crystal structure of AlIr2Pb.

Formation enthalpy at 0 K   0.38 eV per atom
Relative energy among the computed polymorphs   546.3 meV/atom
Total energy   -94.67 eV per cell
Mass density   14.8 Mg/m³

Unit cell a=6.523 b=6.523 c=6.523 alpha=90.00 beta=90.00 gamma=90.00
Space group F-43m (No. 216)
Inequivalent atoms, fractional coordinates:
Al  0.000  0.000  0.000
Ir  0.000  0.000  0.500
Ir  0.250  0.250  0.750
Pb  0.250  0.250  0.250



Entry 8:
## Pa2Co2Ag (PBE)

Data for an optimized crystal structure of Pa2Co2Ag.

Formation enthalpy at 0 K   -0.27 eV per atom
Total energy   -74.82 eV per cell
Mass density   12.4 Mg/m³

Unit cell a=7.326 b=7.326 c=3.427 alpha=90.00 beta=90.00 gamma=90.00
Space group P4/mbm (No. 127)
Inequivalent atoms, fractional coordinates:
Pa  0.168  0.332  0.000
Co  0.132  0.632  0.500
Ag  0.000  0.000  0.500